First-principles (GGA-PBE) data for crystalline Tl2ZnH4 at its relaxed geometry, as listed in Alexandria via LeMat-Bulk.

Computed properties:
For the final energy, the calculation gives -2.49 eV/atom.

Cell: 4.0094 4.0094 13.4423 Å, 90.00 90.00 90.00°
Space group I4/mmm (No. 139)
Symmetry-distinct sites (fractional):
Tl: 0.0000 0.0000 0.1341 (multiplicity 4)
Zn: 0.0000 0.0000 0.5000 (multiplicity 2)
H: 0.0000 0.0000 0.3748 (multiplicity 4)
H: 0.0000 0.5000 0.0000 (multiplicity 4)



First-principles (GGA-PBE) data for crystalline Tb4Dy9Tm11 at its relaxed geometry, as listed in Alexandria via LeMat-Bulk.

Computed properties:
For the energy of formation from the pure elements, the calculation gives 131 kJ/mol of formula units.

Cell: 20.2137 20.9151 3.4963 Å, 90.00 90.00 90.00°
Space group Cmmm (No. 65)
Symmetry-distinct sites (fractional):
Tb: 0.1363 0.0854 0.0000 (multiplicity 8)
Dy: 0.0000 0.0000 0.0000 (multiplicity 2)
Dy: 0.1217 0.4152 0.0000 (multiplicity 8)
Dy: 0.1234 0.2467 0.0000 (multiplicity 8)
Tm: 0.0000 0.1568 0.5000 (multiplicity 4)
Tm: 0.0000 0.3302 0.5000 (multiplicity 4)
Tm: 0.0000 0.5000 0.5000 (multiplicity 2)
Tm: 0.2425 0.5000 0.5000 (multiplicity 4)
Tm: 0.2467 0.3317 0.5000 (multiplicity 8)



First-principles (GGA-PBE) data for crystalline SbTeW2 at its relaxed geometry, as listed in Alexandria via LeMat-Bulk.

Computed properties:
Its formation energy without anion corrections is 359 kJ/mol of formula units.

Cell: 3.8348 4.5122 5.4170 Å, 90.00 93.04 90.00°
Space group P2/m (No. 10)
Symmetry-distinct sites (fractional):
Sb: 0.0000 0.0000 0.0000 (multiplicity 1)
Te: 0.5000 0.0000 0.5000 (multiplicity 1)
W: 0.2876 0.5000 0.8333 (multiplicity 2)